a:
The following is a PBE calculation of a geometry-optimized Sr2CrIr structure, from Alexandria via LeMat-Bulk.

Summary:
**Magnetic moment**: 6.276 μB per cell

a = 4.2351 Å, b = 5.4497 Å, c = 9.6492 Å
α = 90.00°, β = 90.00°, γ = 90.00°
Last column: nearest neighbours and their distance in Å.
Space group Imm2 (No. 44)
Asymmetric unit:
Sr (0.0000, 0.0000, 0.0000) [2 per cell]  4 Sr 3.33-3.60, 4 Cr 3.34-3.58, 4 Ir 3.58
Sr (0.0000, 0.5000, 0.1984) [2 per cell]  4 Sr 3.33-3.60, 4 Ir 3.35-3.57, 4 Cr 3.59
Cr (0.0000, 0.5000, 0.7993) [2 per cell]  2 Ir 2.33
Ir (0.0000, 0.0000, 0.4008) [2 per cell]  2 Cr 2.33

b:
The following is a PBE calculation of a geometry-optimized Sr2CrIr structure, from Alexandria via LeMat-Bulk.

Summary:
**Magnetic moment**: 18.608 μB per cell

a = 7.3042 Å, b = 7.3042 Å, c = 7.3042 Å
α = 90.00°, β = 90.00°, γ = 90.00°
Last column: nearest neighbours and their distance in Å.
Space group F-43m (No. 216)
Asymmetric unit:
Sr (0.0000, 0.0000, 0.0000) [4 per cell]  4 Ir 3.16, 4 Sr 3.16
Sr (0.2500, 0.2500, 0.2500) [4 per cell]  4 Cr 3.16, 4 Sr 3.16
Cr (0.0000, 0.0000, 0.5000) [4 per cell]  4 Ir 3.16, 4 Sr 3.16
Ir (0.2500, 0.2500, 0.7500) [4 per cell]  4 Cr 3.16, 4 Sr 3.16

c:
The following is a PBE calculation of a geometry-optimized Sr2CrIr structure, from Alexandria via LeMat-Bulk.

Summary:
**Magnetic moment**: 4.863 μB per cell

a = 4.9871 Å, b = 4.9871 Å, c = 4.1797 Å
α = 90.00°, β = 90.00°, γ = 90.00°
Last column: nearest neighbours and their distance in Å.
Space group P4/mmm (No. 123)
Asymmetric unit:
Sr (0.0000, 0.5000, 0.0000) [2 per cell]  4 Ir 3.25, 4 Cr 3.25, 4 Sr 3.53
Cr (0.0000, 0.0000, 0.5000) [1 per cell]  8 Sr 3.25, 4 Ir 3.53
Ir (0.5000, 0.5000, 0.5000) [1 per cell]  8 Sr 3.25, 4 Cr 3.53

d:
The following is a PBE calculation of a geometry-optimized Sr2CrIr structure, from Alexandria via LeMat-Bulk.

Summary:
**Magnetic moment**: 15.557 μB per cell

a = 4.3672 Å, b = 4.3672 Å, c = 24.2431 Å
α = 90.00°, β = 90.00°, γ = 120.00°
Last column: nearest neighbours and their distance in Å.
Space group R-3m (No. 166, hexagonal axes)
Asymmetric unit:
Sr (0.0000, 0.0000, 0.2311) [6 per cell]  3 Ir 2.97
Cr (0.0000, 0.0000, 0.0000) [3 per cell]  6 Sr 3.54
Ir (0.0000, 0.0000, 0.5000) [3 per cell]  6 Sr 2.97

The winner here is a, beating the second structure by 220 meV per atom.

a:
The following is a PBE calculation of a geometry-optimized TaCr2Ir structure, from Alexandria via LeMat-Bulk.

Summary:
**Magnetic moment**: 0.000 μB per cell

a = 2.7374 Å, b = 4.0062 Å, c = 5.3393 Å
α = 90.00°, β = 104.19°, γ = 90.00°
Last column: nearest neighbours and their distance in Å.
Space group Pm (No. 6)
Asymmetric unit:
Ta (0.0000, 0.0000, 0.0000) [1 per cell]  4 Cr 2.60-2.78, 2 Ta 2.74, 4 Ir 2.75-2.83
Cr (0.5827, 0.5000, 0.2868) [1 per cell]  2 Cr 2.31, 1 Ir 2.56
Cr (0.9041, 0.0000, 0.4719) [1 per cell]  2 Cr 2.31
Ir (0.4036, 0.5000, 0.7345) [1 per cell]  4 Cr 2.56-2.85, 2 Ir 2.74, 4 Ta 2.75-2.83

b:
The following is a PBE calculation of a geometry-optimized TaCr2Ir structure, from Alexandria via LeMat-Bulk.

Summary:
**Magnetic moment**: 1.958 μB per cell

a = 2.8387 Å, b = 2.8387 Å, c = 24.8087 Å
α = 90.00°, β = 90.00°, γ = 120.00°
Last column: nearest neighbours and their distance in Å.
Space group R3m (No. 160, hexagonal axes)
Asymmetric unit:
Ta (0.0000, 0.0000, 0.0000) [3 per cell]  3 Cr 2.77, 3 Ir 2.78, 6 Ta 2.84
Cr (0.0000, 0.0000, 0.4905) [3 per cell]  3 Cr 2.33
Cr (0.0000, 0.0000, 0.7569) [3 per cell]  3 Cr 2.33
Ir (0.0000, 0.0000, 0.2426) [3 per cell]  3 Cr 2.68, 3 Ta 2.78, 6 Ir 2.84

c:
The following is a PBE calculation of a geometry-optimized TaCr2Ir structure, from Alexandria via LeMat-Bulk.

Summary:
**Magnetic moment**: 0.000 μB per cell

a = 6.9322 Å, b = 6.9322 Å, c = 5.1216 Å
α = 90.00°, β = 90.00°, γ = 90.00°
Last column: nearest neighbours and their distance in Å.
Space group I-42d (No. 122)
Asymmetric unit:
Ta (0.0000, 0.0000, 0.0000) [4 per cell]  2 Ir 2.56, 4 Cr 2.62
Cr (0.2319, 0.2500, 0.6250) [8 per cell]  2 Ir 2.45, 2 Cr 2.57, 2 Ta 2.62
Ir (0.0000, 0.0000, 0.5000) [4 per cell]  4 Cr 2.45, 2 Ta 2.56

d:
The following is a PBE calculation of a geometry-optimized TaCr2Ir structure, from Alexandria via LeMat-Bulk.

Summary:
**Magnetic moment**: 0.005 μB per cell

a = 5.2668 Å, b = 8.4925 Å, c = 2.6964 Å
α = 90.00°, β = 109.76°, γ = 90.00°
Last column: nearest neighbours and their distance in Å.
Space group C2/m (No. 12)
Asymmetric unit:
Ta (0.0000, 0.0000, 0.0000) [2 per cell]  4 Cr 2.62, 2 Ir 2.63, 2 Ta 2.70
Cr (0.2500, 0.2500, 0.5000) [4 per cell]  2 Ta 2.62, 2 Ir 2.62, 4 Cr 2.63-2.70
Ir (0.0000, 0.5000, 0.0000) [2 per cell]  4 Cr 2.62, 2 Ta 2.63, 2 Ir 2.70

The winner here is a, beating the second structure by 102 meV per atom.

a:
The following is a PBE calculation of a geometry-optimized TaCr2Ir structure, from Alexandria via LeMat-Bulk.

Summary:
**Magnetic moment**: 0.000 μB per cell

a = 2.7274 Å, b = 2.7274 Å, c = 26.9189 Å
α = 90.00°, β = 90.00°, γ = 120.00°
Last column: nearest neighbours and their distance in Å.
Space group R-3m (No. 166, hexagonal axes)
Asymmetric unit:
Ta (0.0000, 0.0000, 0.0000) [3 per cell]  6 Ta 2.73, 6 Cr 2.87
Cr (0.0000, 0.0000, 0.2444) [6 per cell]  3 Ir 2.62, 6 Cr 2.73, 3 Ta 2.87
Ir (0.0000, 0.0000, 0.5000) [3 per cell]  6 Cr 2.62, 6 Ir 2.73

b:
The following is a PBE calculation of a geometry-optimized TaCr2Ir structure, from Alexandria via LeMat-Bulk.

Summary:
**Magnetic moment**: 0.005 μB per cell

a = 3.0092 Å, b = 4.3752 Å, c = 8.5129 Å
α = 90.00°, β = 90.00°, γ = 90.00°
Last column: nearest neighbours and their distance in Å.
Space group Imm2 (No. 44)
Asymmetric unit:
Ta (0.0000, 0.0000, 0.0000) [2 per cell]  6 Cr 2.67-2.68, 4 Ir 2.73-2.95
Cr (0.0000, 0.0000, 0.4720) [2 per cell]  2 Cr 2.35
Cr (0.0000, 0.5000, 0.7600) [2 per cell]  2 Cr 2.35
Ir (0.0000, 0.5000, 0.2320) [2 per cell]  6 Cr 2.67-2.68, 4 Ta 2.73-2.95

The winner here is b, beating the second structure by 336 meV per atom.

a:
The following is a PBE calculation of a geometry-optimized TaCrIr structure, from Alexandria via LeMat-Bulk.

Summary:
**Magnetic moment**: 0.002 μB per cell

a = 2.7693 Å, b = 2.7693 Å, c = 11.6502 Å
α = 90.00°, β = 90.00°, γ = 90.00°
Last column: nearest neighbours and their distance in Å.
Space group I4mm (No. 107)
Asymmetric unit:
Ta (0.0000, 0.0000, 0.0000) [2 per cell]  4 Ta 2.77, 4 Cr 2.83, 4 Ir 2.90
Cr (0.0000, 0.0000, 0.6754) [2 per cell]  4 Ir 2.55, 4 Cr 2.77, 4 Ta 2.83
Ir (0.0000, 0.0000, 0.3160) [2 per cell]  4 Cr 2.55, 4 Ir 2.77

b:
The following is a PBE calculation of a geometry-optimized TaCrIr structure, from Alexandria via LeMat-Bulk.

Summary:
**Magnetic moment**: 12.089 μB per cell

a = 6.0256 Å, b = 6.0256 Å, c = 6.0256 Å
α = 90.00°, β = 90.00°, γ = 90.00°
Last column: nearest neighbours and their distance in Å.
Space group F-43m (No. 216)
Asymmetric unit:
Ta (0.0000, 0.0000, 0.0000) [4 per cell]  4 Ir 2.61, 4 Cr 2.61
Cr (0.2500, 0.2500, 0.7500) [4 per cell]  4 Ta 2.61
Ir (0.2500, 0.2500, 0.2500) [4 per cell]  4 Ta 2.61

c:
The following is a PBE calculation of a geometry-optimized TaCrIr structure, from Alexandria via LeMat-Bulk.

Summary:
**Magnetic moment**: 1.880 μB per cell

a = 4.3552 Å, b = 4.3552 Å, c = 2.7558 Å
α = 90.00°, β = 90.00°, γ = 120.00°
Last column: nearest neighbours and their distance in Å.
Space group P3m1 (No. 156)
Asymmetric unit:
Ta (0.0000, 0.0000, 0.0000) [1 per cell]  3 Cr 2.63, 3 Ir 2.68, 2 Ta 2.76
Cr (0.6667, 0.3333, 0.2786) [1 per cell]  3 Ta 2.63, 3 Ir 2.73, 2 Cr 2.76
Ir (0.3333, 0.6667, 0.6607) [1 per cell]  3 Ta 2.68, 3 Cr 2.73, 2 Ir 2.76

d:
The following is a PBE calculation of a geometry-optimized TaCrIr structure, from Alexandria via LeMat-Bulk.

Summary:
**Magnetic moment**: 2.817 μB per cell

a = 2.8546 Å, b = 3.6422 Å, c = 8.7050 Å
α = 90.00°, β = 90.00°, γ = 90.00°
Last column: nearest neighbours and their distance in Å.
Space group Imm2 (No. 44)
Asymmetric unit:
Ta (0.0000, 0.0000, 0.0000) [2 per cell]  5 Cr 2.76-2.84, 5 Ir 2.78-2.82, 2 Ta 2.85
Cr (0.0000, 0.0000, 0.6732) [2 per cell]  4 Ir 2.66, 5 Ta 2.76-2.84, 2 Cr 2.85
Ir (0.0000, 0.0000, 0.3236) [2 per cell]  4 Cr 2.66, 5 Ta 2.78-2.82, 2 Ir 2.85

The winner here is a, beating the second structure by 31 meV per atom.

a:
The following is a PBE calculation of a geometry-optimized TaCrIr structure, from Alexandria via LeMat-Bulk.

Summary:
**Magnetic moment**: 10.846 μB per cell

a = 6.0582 Å, b = 6.0582 Å, c = 6.0582 Å
α = 90.00°, β = 90.00°, γ = 90.00°
Last column: nearest neighbours and their distance in Å.
Space group F-43m (No. 216)
Asymmetric unit:
Ta (0.0000, 0.0000, 0.0000) [4 per cell]  4 Ir 2.62
Cr (0.0000, 0.0000, 0.5000) [4 per cell]  4 Ir 2.62
Ir (0.2500, 0.2500, 0.2500) [4 per cell]  4 Cr 2.62, 4 Ta 2.62

b:
The following is a PBE calculation of a geometry-optimized TaCrIr structure, from Alexandria via LeMat-Bulk.

Summary:
**Magnetic moment**: 0.000 μB per cell

a = 4.8581 Å, b = 8.0819 Å, c = 18.4493 Å
α = 90.00°, β = 90.00°, γ = 90.00°
Last column: nearest neighbours and their distance in Å.
Space group Fddd (No. 70, origin choice 2)
Asymmetric unit:
Ta (0.1250, 0.3020, 0.1250) [16 per cell]  4 Cr 2.69-2.70, 3 Ta 2.70-2.86, 2 Ir 2.92
Cr (0.1250, 0.1250, 0.0008) [16 per cell]  2 Cr 2.36, 4 Ir 2.57-2.62
Ir (0.1250, 0.1250, 0.5540) [16 per cell]  4 Cr 2.57-2.62, 1 Ir 2.62

The winner here is b, beating the second structure by 150 meV per atom.